A geometry-optimized Te3Cl2 structure, computed with PBE.

Calculated values
The calculation puts the uncorrected formation energy at -0.2904 eV per atom. For the energy relative to the lowest polymorph listed for this composition, the calculation gives 0.000 eV per formula unit. As for the space-group type: No. 14. The total magnetic moment comes out at 0.000 μB/atom.

abc: 8.7154 7.5845 12.2317
angles: 58.98 90.00 90.00
Atoms (fractional coordinates):
Te: 0.2564 0.9946 0.9085
Te: 0.3483 0.7010 0.3402
Te: 0.8483 0.2990 0.1598
Te: 0.7564 0.0054 0.5915
Cl: 0.5029 0.2266 0.0214
Te: 0.1517 0.7010 0.8402
Te: 0.8434 0.6974 0.8552
Te: 0.1566 0.3026 0.1448
Cl: 0.0029 0.7734 0.4786
Cl: 0.4850 0.2133 0.3302
Cl: 0.4971 0.7734 0.9786
Te: 0.6566 0.6974 0.3552
Cl: 0.0150 0.2133 0.8302
Cl: 0.9971 0.2266 0.5214
Cl: 0.9850 0.7867 0.1698
Te: 0.7436 0.0054 0.0915
Cl: 0.5150 0.7867 0.6698
Te: 0.2436 0.9946 0.4085
Te: 0.6517 0.2990 0.6598
Te: 0.3434 0.3026 0.6448